Model a:
Below is a relaxed MgBrF crystal, with properties calculated at the GGA-PBE level.

Lattice parameters (Å, degrees): 3.9225 6.4749 5.4324 65.18 90.00 72.37
Fractional positions:
Mg 0.3638 0.7725 0.6138
Mg 0.6362 0.2275 0.3862
Br 0.6008 0.2982 0.8509
Br 0.3992 0.7018 0.1491
F 0.8232 0.8536 0.5731
F 0.1768 0.1464 0.4269

D(E_F) in states/eV per atom: 0.00
Space group: Imma (74)

---

Model b:
Below is a relaxed MgBrF crystal, with properties calculated at the GGA-PBE level.

Lattice parameters (Å, degrees): 3.5192 3.5192 5.5275 90.00 90.00 120.00
Fractional positions:
Mg 0.6667 0.3333 0.3902
Br 0.0000 0.0000 0.0858
F 0.3333 0.6667 0.5240

D(E_F) in states/eV per atom: 0.00
Space group: P3m1 (156)

---

Stability, highest: model a

---

Model a:
Below is a relaxed MgBrF2 crystal, with properties calculated at the GGA-PBE level.

Lattice parameters (Å, degrees): 4.3843 4.3843 4.3843 60.00 60.00 60.00
Site moments in Bohr magnetons follow the coordinates.
Fractional positions:
Mg 0.0000 0.0000 0.0000  -0.01
Br 0.5000 0.5000 0.5000  0.52
F 0.2500 0.2500 0.2500  0.17
F 0.7500 0.7500 0.7500  0.17

D(E_F) in states/eV per atom: 1.09
Space group: Fm-3m (225)

---

Model b:
Below is a relaxed MgBrF2 crystal, with properties calculated at the GGA-PBE level.

Lattice parameters (Å, degrees): 9.5537 9.5537 9.5537 18.56 18.56 18.56
Fractional positions:
Mg 0.5000 0.5000 0.5000
Br 0.0000 0.0000 0.0000
F 0.8671 0.8671 0.8671
F 0.1329 0.1329 0.1329

D(E_F) in states/eV per atom: 0.30
Space group: R-3m (166)

---

Stability, highest: model b

---

Model a:
Below is a relaxed MgBrF2 crystal, with properties calculated at the GGA-PBE level.

Lattice parameters (Å, degrees): 6.1221 6.1221 6.1381 60.09 60.09 90.00
Site moments in Bohr magnetons follow the coordinates.
Fractional positions:
Mg 0.5000 0.5000 0.0000  0.00
Mg 0.2500 0.7500 0.5000  0.00
Br 0.0000 0.0000 0.0000  0.72
Br 0.7500 0.2500 0.5000  0.72
F 0.3749 0.1250 0.2500  0.01
F 0.3751 0.6250 0.2500  0.01
F 0.3750 0.6251 0.7500  0.01
F 0.8750 0.6249 0.7500  0.02

D(E_F) in states/eV per atom: 1.19
Space group: I4_1/amd (141)

---

Model b:
Below is a relaxed MgBrF2 crystal, with properties calculated at the GGA-PBE level.

Lattice parameters (Å, degrees): 9.7184 9.7184 9.7184 20.12 20.12 20.12
Fractional positions:
Mg 0.0000 0.0000 0.0000
Br 0.5000 0.5000 0.5000
F 0.9388 0.9388 0.9388
F 0.0612 0.0612 0.0612

D(E_F) in states/eV per atom: 0.65
Space group: R-3m (166)

---

Stability, highest: model a

---

Model a:
Below is a relaxed MgBrN2F crystal, with properties calculated at the GGA-PBE level.

Lattice parameters (Å, degrees): 4.2246 5.5228 4.2246 90.00 90.00 90.00
Site moments in Bohr magnetons follow the coordinates.
Fractional positions:
Mg 0.0000 0.0000 0.0000  -0.01
N 0.0000 0.0000 0.5000  1.52
N 0.5000 0.0000 0.0000  1.51
Br 0.0000 0.5000 0.0000  0.66
F 0.5000 0.5000 0.5000  0.54

D(E_F) in states/eV per atom: 0.38
Space group: P4/mmm (123)

---

Model b:
Below is a relaxed MgBrN2F crystal, with properties calculated at the GGA-PBE level.

Lattice parameters (Å, degrees): 3.8403 3.8403 4.6145 90.00 90.00 90.00
Fractional positions:
Mg 0.5000 0.5000 0.5000
N 0.0000 0.5000 0.0000
N 0.5000 0.0000 0.0000
Br 0.0000 0.0000 0.0000
F 0.0000 0.0000 0.5000

D(E_F) in states/eV per atom: 0.64
Space group: P4/mmm (123)

---

Stability, highest: model b